[1]
This record from Alexandria describes crystalline Ce8Si2Rh at its relaxed geometry. The functional is PBE-GGA.

Raw formation energy: -355 meV/atom
Crystal system: monoclinic
Symmetry: C2/m (12)

POSCAR file:
```
Ce8Si2Rh
1.0
8.213 -2.361 0.000
8.213 2.361 0.000
-2.735 0.000 6.867
Ce Si Rh
8 2 1
Direct
0.014 0.014 0.282 Ce
0.212 0.212 0.788 Ce
0.324 0.324 0.576 Ce
0.435 0.435 0.067 Ce
0.565 0.565 0.933 Ce
0.676 0.676 0.424 Ce
0.788 0.788 0.212 Ce
0.986 0.986 0.718 Ce
0.168 0.168 0.151 Si
0.832 0.832 0.849 Si
0.500 0.500 0.500 Rh
```


[2]
This record from Alexandria describes crystalline HoVFeP2 at its relaxed geometry. The functional is PBE-GGA.

Crystal system: tetragonal
Symmetry: I-4m2 (119)
Formation energy from the elements: -0.91 eV/atom

POSCAR file:
```
HoVFeP2
1.0
-1.941 1.941 4.971
1.941 -1.941 4.971
1.941 1.941 -4.971
Ho V Fe P
1 1 1 2
Direct
0.000 0.000 0.000 Ho
0.250 0.750 0.500 V
0.750 0.250 0.500 Fe
0.376 0.376 0.000 P
0.624 0.624 0.000 P
```


[3]
This record from Alexandria describes crystalline BeTlAgCl4 at its relaxed geometry. The functional is PBE-GGA.

Raw formation energy: -1034 meV/atom
Crystal system: monoclinic
Symmetry: P2_1/m (11)

POSCAR file:
```
BeTlAgCl4
1.0
6.288 0.000 0.000
0.000 7.047 0.000
-2.506 0.000 8.193
Be Tl Ag Cl
2 2 2 8
Direct
0.203 0.250 0.307 Be
0.797 0.750 0.693 Be
0.257 0.750 0.072 Tl
0.743 0.250 0.928 Tl
0.194 0.750 0.531 Ag
0.806 0.250 0.469 Ag
0.009 0.520 0.717 Cl
0.009 0.980 0.717 Cl
0.335 0.250 0.119 Cl
0.428 0.250 0.528 Cl
0.572 0.750 0.472 Cl
0.665 0.750 0.881 Cl
0.991 0.020 0.283 Cl
0.991 0.480 0.283 Cl
```


[4]
This record from Alexandria describes crystalline LiMgCo3 at its relaxed geometry. The functional is PBE-GGA.

Crystal system: cubic
Polymorph energy (0 for the lowest one): 0.000 eV/atom
Symmetry: Pm-3m (221)
Formation energy from the elements: 0.82 eV/atom

POSCAR file:
```
LiMgCo3
1.0
4.027 0.000 0.000
0.000 4.027 0.000
0.000 0.000 4.027
Li Mg Co
1 1 3
Direct
0.000 0.000 0.000 Li
0.500 0.500 0.500 Mg
0.000 0.000 0.500 Co
0.000 0.500 0.000 Co
0.500 0.000 0.000 Co
```


[5]
This record from Alexandria describes crystalline TiNbNi at its relaxed geometry. The functional is PBE-GGA.

Crystal system: tetragonal
Polymorph energy (0 for the lowest one): 0.058 eV/atom
Symmetry: I4mm (107)
Formation energy from the elements: -0.19 eV/atom

POSCAR file:
```
TiNbNi
1.0
-1.478 1.478 5.276
1.478 -1.478 5.276
1.478 1.478 -5.276
Ti Nb Ni
1 1 1
Direct
0.000 0.000 0.000 Ti
0.691 0.691 0.000 Nb
0.366 0.366 0.000 Ni
```


[6]
This record from Alexandria describes crystalline Sm5DySc2 at its relaxed geometry. The functional is PBE-GGA.

Crystal system: tetragonal
Polymorph energy (0 for the lowest one): 0.093 eV/atom
Symmetry: I4/mcm (140)
Formation energy from the elements: 0.13 eV/atom

POSCAR file:
```
Sm5DySc2
1.0
-4.505 4.505 6.200
4.505 -4.505 6.200
4.505 4.505 -6.200
Sm Dy Sc
10 2 4
Direct
0.000 0.000 0.000 Sm
0.010 0.510 0.202 Sm
0.192 0.990 0.500 Sm
0.308 0.808 0.798 Sm
0.490 0.692 0.500 Sm
0.500 0.500 0.000 Sm
0.510 0.308 0.500 Sm
0.692 0.192 0.202 Sm
0.808 0.010 0.500 Sm
0.990 0.490 0.798 Sm
0.250 0.250 0.000 Dy
0.750 0.750 0.000 Dy
0.148 0.352 0.500 Sc
0.352 0.852 0.205 Sc
0.648 0.148 0.795 Sc
0.852 0.648 0.500 Sc
```


[7]
This record from Alexandria describes crystalline Pr6CoSn at its relaxed geometry. The functional is PBE-GGA.

Crystal system: monoclinic
Symmetry: C2/m (12)
Formation energy from the elements: -0.11 eV/atom

POSCAR file:
```
Pr6CoSn
1.0
4.052 -5.129 0.000
4.052 5.129 0.000
-1.699 0.000 6.269
Pr Co Sn
6 1 1
Direct
0.077 0.694 0.715 Pr
0.285 0.285 0.883 Pr
0.306 0.923 0.285 Pr
0.694 0.077 0.715 Pr
0.715 0.715 0.117 Pr
0.923 0.306 0.285 Pr
0.000 0.000 0.000 Co
0.500 0.500 0.500 Sn
```


[8]
This record from Alexandria describes crystalline Ca2IrPb at its relaxed geometry. The functional is PBE-GGA.

Crystal system: orthorhombic
Symmetry: Immm (71)
Formation energy from the elements: -0.21 eV/atom

POSCAR file:
```
Ca2IrPb
1.0
-2.173 2.514 4.413
2.173 -2.514 4.413
2.173 2.514 -4.413
Ca Ir Pb
2 1 1
Direct
0.225 0.225 0.000 Ca
0.775 0.775 0.000 Ca
0.000 0.500 0.500 Ir
0.500 0.000 0.500 Pb
```


[9]
This record from Alexandria describes crystalline Tb3Y2Ni4 at its relaxed geometry. The functional is PBE-GGA.

Crystal system: monoclinic
Symmetry: P2_1/c (14)
Formation energy from the elements: -0.36 eV/atom

POSCAR file:
```
Tb3Y2Ni4
1.0
7.363 0.000 0.000
0.000 7.258 0.000
-2.207 0.000 7.269
Tb Y Ni
6 4 8
Direct
0.000 0.000 0.000 Tb
0.000 0.500 0.500 Tb
0.265 0.170 0.748 Tb
0.265 0.330 0.248 Tb
0.735 0.670 0.752 Tb
0.735 0.830 0.252 Tb
0.300 0.679 0.903 Y
0.300 0.821 0.403 Y
0.700 0.179 0.597 Y
0.700 0.321 0.097 Y
0.000 0.118 0.385 Ni
0.000 0.382 0.885 Ni
0.000 0.618 0.115 Ni
0.000 0.882 0.615 Ni
0.411 0.029 0.117 Ni
0.411 0.471 0.617 Ni
0.589 0.529 0.383 Ni
0.589 0.971 0.883 Ni
```


[10]
This record from Alexandria describes crystalline BeFe at its relaxed geometry. The functional is PBE-GGA.

Crystal system: cubic
Symmetry: Fd-3m (227)
Formation energy from the elements: -0.10 eV/atom

POSCAR file:
```
BeFe
1.0
0.000 2.645 2.645
2.645 0.000 2.645
2.645 2.645 0.000
Be Fe
2 2
Direct
0.125 0.125 0.125 Be
0.875 0.875 0.875 Be
0.375 0.375 0.375 Fe
0.625 0.625 0.625 Fe
```


[11]
This record from Alexandria describes crystalline LuFe4Ge at its relaxed geometry. The functional is PBE-GGA.

Crystal system: cubic
Symmetry: F-43m (216)
Formation energy from the elements: -0.10 eV/atom

POSCAR file:
```
LuFe4Ge
1.0
0.000 3.466 3.466
3.466 0.000 3.466
3.466 3.466 0.000
Lu Fe Ge
1 4 1
Direct
0.000 0.000 0.000 Lu
0.128 0.624 0.624 Fe
0.624 0.128 0.624 Fe
0.624 0.624 0.128 Fe
0.624 0.624 0.624 Fe
0.250 0.250 0.250 Ge
```


[12]
This record from Alexandria describes crystalline CaSn2Pd8 at its relaxed geometry. The functional is PBE-GGA.

Crystal system: monoclinic
Symmetry: C2/m (12)
Formation energy from the elements: -0.40 eV/atom

POSCAR file:
```
CaSn2Pd8
1.0
3.754 -6.183 0.000
3.754 6.183 0.000
-2.375 0.000 4.286
Ca Sn Pd
1 2 8
Direct
0.000 0.000 0.000 Ca
0.310 0.690 0.500 Sn
0.690 0.310 0.500 Sn
0.092 0.326 0.634 Pd
0.225 0.775 0.000 Pd
0.326 0.092 0.634 Pd
0.420 0.420 0.188 Pd
0.580 0.580 0.812 Pd
0.674 0.908 0.366 Pd
0.775 0.225 0.000 Pd
0.908 0.674 0.366 Pd
```


[13]
This record from Alexandria describes crystalline CuReSi2 at its relaxed geometry. The functional is PBE-GGA.

Raw formation energy: 493 meV/atom
Crystal system: cubic
Polymorph energy (0 for the lowest one): 0.633 eV/atom
Symmetry: F-43m (216)

POSCAR file:
```
CuReSi2
1.0
0.000 3.003 3.003
3.003 0.000 3.003
3.003 3.003 0.000
Cu Re Si
1 1 2
Direct
0.000 0.000 0.000 Cu
0.250 0.250 0.250 Re
0.500 0.500 0.500 Si
0.750 0.750 0.750 Si
```


[14]
This record from Alexandria describes crystalline CdAgRh2 at its relaxed geometry. The functional is PBE-GGA.

Crystal system: trigonal
Symmetry: R-3m (166)
Formation energy from the elements: 0.15 eV/atom

POSCAR file:
```
CdAgRh2
1.0
1.427 0.824 9.273
-1.427 0.824 9.273
0.000 -1.647 9.273
Cd Ag Rh
1 1 2
Direct
0.000 0.000 0.000 Cd
0.500 0.500 0.500 Ag
0.250 0.250 0.250 Rh
0.750 0.750 0.750 Rh
```


[15]
This record from Alexandria describes crystalline Gd2TlPd at its relaxed geometry. The functional is PBE-GGA.

Crystal system: trigonal
Polymorph energy (0 for the lowest one): 0.117 eV/atom
Symmetry: R-3m (166)
Formation energy from the elements: -0.49 eV/atom

POSCAR file:
```
Gd2TlPd
1.0
1.960 1.131 8.414
-1.960 1.131 8.414
0.000 -2.263 8.414
Gd Tl Pd
2 1 1
Direct
0.237 0.237 0.237 Gd
0.763 0.763 0.763 Gd
0.000 0.000 0.000 Tl
0.500 0.500 0.500 Pd
```


[16]
This record from Alexandria describes crystalline InGaFeGe2 at its relaxed geometry. The functional is PBE-GGA.

Crystal system: tetragonal
Symmetry: P4/mmm (123)
Formation energy from the elements: 0.12 eV/atom

POSCAR file:
```
InGaFeGe2
1.0
4.630 0.000 0.000
0.000 4.630 0.000
0.000 0.000 4.742
In Ga Fe Ge
1 1 1 2
Direct
0.000 0.000 0.000 In
0.500 0.500 0.000 Ga
0.500 0.500 0.500 Fe
0.000 0.500 0.500 Ge
0.500 0.000 0.500 Ge
```


[17]
This record from Alexandria describes crystalline DyNi4B2 at its relaxed geometry. The functional is PBE-GGA.

Crystal system: orthorhombic
Polymorph energy (0 for the lowest one): 0.007 eV/atom
Symmetry: Cmmm (65)
Formation energy from the elements: -0.40 eV/atom

POSCAR file:
```
DyNi4B2
1.0
1.779 -6.338 0.000
1.779 6.338 0.000
0.000 0.000 3.549
Dy Ni B
1 4 2
Direct
0.000 0.000 0.000 Dy
0.178 0.822 0.500 Ni
0.323 0.677 0.000 Ni
0.677 0.323 0.000 Ni
0.822 0.178 0.500 Ni
0.401 0.599 0.500 B
0.599 0.401 0.500 B
```


[18]
This record from Alexandria describes crystalline ScCuIrRh at its relaxed geometry. The functional is PBE-GGA.

Crystal system: cubic
Symmetry: F-43m (216)
Formation energy from the elements: -0.41 eV/atom

POSCAR file:
```
ScCuIrRh
1.0
0.000 3.108 3.108
3.108 0.000 3.108
3.108 3.108 0.000
Sc Cu Ir Rh
1 1 1 1
Direct
0.000 0.000 0.000 Sc
0.500 0.500 0.500 Cu
0.250 0.250 0.250 Ir
0.750 0.750 0.750 Rh
```


[19]
This record from Alexandria describes crystalline VCr2Rh2 at its relaxed geometry. The functional is PBE-GGA.

Crystal system: tetragonal
Polymorph energy (0 for the lowest one): 0.041 eV/atom
Symmetry: P4/mbm (127)
Formation energy from the elements: 0.11 eV/atom

POSCAR file:
```
VCr2Rh2
1.0
7.194 0.000 0.000
0.000 7.194 0.000
0.000 0.000 2.646
V Cr Rh
2 4 4
Direct
0.000 0.000 0.000 V
0.500 0.500 0.000 V
0.169 0.331 0.500 Cr
0.331 0.831 0.500 Cr
0.669 0.169 0.500 Cr
0.831 0.669 0.500 Cr
0.130 0.630 0.000 Rh
0.370 0.130 0.000 Rh
0.630 0.870 0.000 Rh
0.870 0.370 0.000 Rh
```


[20]
This record from Alexandria describes crystalline PHOsO at its relaxed geometry. The functional is PBE-GGA.

Crystal system: orthorhombic
Polymorph energy (0 for the lowest one): 0.097 eV/atom
Symmetry: Amm2 (38)

POSCAR file:
```
PHOsO
1.0
3.035 0.000 0.000
0.000 1.393 5.644
0.000 -1.393 5.644
P H Os O
1 1 1 1
Direct
0.000 0.000 0.000 P
0.500 0.211 0.211 H
0.500 0.608 0.608 Os
0.000 0.868 0.868 O
```


[21]
This record from Alexandria describes crystalline ThAs2Au at its relaxed geometry. The functional is PBE-GGA.

Crystal system: trigonal
Symmetry: R-3m (166)
Formation energy from the elements: -0.50 eV/atom

POSCAR file:
```
ThAs2Au
1.0
2.207 1.274 5.542
-2.207 1.274 5.542
0.000 -2.548 5.542
Th As Au
1 2 1
Direct
0.000 0.000 0.000 Th
0.244 0.244 0.244 As
0.756 0.756 0.756 As
0.500 0.500 0.500 Au
```


[22]
This record from Alexandria describes crystalline Ce5Pt2Au2 at its relaxed geometry. The functional is PBE-GGA.

Crystal system: orthorhombic
Polymorph energy (0 for the lowest one): 0.089 eV/atom
Symmetry: Ima2 (46)
Formation energy from the elements: -0.64 eV/atom

POSCAR file:
```
Ce5Pt2Au2
1.0
-9.264 3.262 3.817
9.264 -3.262 3.817
9.264 3.262 -3.817
Ce Pt Au
10 4 4
Direct
0.163 0.077 0.240 Ce
0.163 0.423 0.587 Ce
0.226 0.522 0.027 Ce
0.226 0.699 0.204 Ce
0.494 0.022 0.796 Ce
0.494 0.199 0.973 Ce
0.573 0.461 0.613 Ce
0.837 0.577 0.413 Ce
0.837 0.923 0.760 Ce
0.848 0.961 0.387 Ce
0.002 0.298 0.204 Pt
0.094 0.798 0.796 Pt
0.306 0.306 0.000 Pt
0.306 0.806 0.500 Pt
0.562 0.102 0.330 Au
0.562 0.733 0.960 Au
0.772 0.233 0.670 Au
0.772 0.602 0.040 Au
```


[23]
This record from Alexandria describes crystalline TbHo2NbN4 at its relaxed geometry. The functional is PBE-GGA.

Raw formation energy: -1518 meV/atom
Crystal system: monoclinic
Symmetry: P2/m (10)

POSCAR file:
```
TbHo2NbN4
1.0
5.822 0.000 0.000
0.000 3.354 0.000
-1.909 0.000 5.508
Tb Ho Nb N
1 2 1 4
Direct
0.000 0.000 0.000 Tb
0.500 0.000 0.500 Ho
0.500 0.500 0.000 Ho
0.000 0.500 0.500 Nb
0.236 0.000 0.734 N
0.241 0.500 0.264 N
0.759 0.500 0.736 N
0.764 0.000 0.266 N
```


[24]
This record from Alexandria describes crystalline Li2AcLa2Bi2 at its relaxed geometry. The functional is PBE-GGA.

Crystal system: trigonal
Symmetry: R-3m (166)
Formation energy from the elements: -0.50 eV/atom

POSCAR file:
```
Li2AcLa2Bi2
1.0
2.461 1.421 9.978
-2.461 1.421 9.978
0.000 -2.842 9.978
Li Ac La Bi
2 1 2 2
Direct
0.085 0.085 0.085 Li
0.915 0.915 0.915 Li
0.500 0.500 0.500 Ac
0.365 0.365 0.365 La
0.635 0.635 0.635 La
0.239 0.239 0.239 Bi
0.761 0.761 0.761 Bi
```


[25]
This record from Alexandria describes crystalline AcPr2Cu2 at its relaxed geometry. The functional is PBE-GGA.

Crystal system: monoclinic
Symmetry: C2/m (12)
Formation energy from the elements: -0.06 eV/atom

POSCAR file:
```
AcPr2Cu2
1.0
6.304 -1.994 0.000
6.304 1.994 0.000
-1.226 0.000 5.674
Ac Pr Cu
1 2 2
Direct
0.000 0.000 0.000 Ac
0.356 0.356 0.427 Pr
0.644 0.644 0.573 Pr
0.278 0.278 0.895 Cu
0.722 0.722 0.105 Cu
```